[1]
Li2HgTe | PBE-GGA | optimized geometry

```
4
Lattice="4.454 -0.532 0.413 2.677 3.600 0.413 1.804 0.776 6.289" Properties=species:S:1:pos:R:3 pbc="T T T"
Hg 2.234 0.961 1.779
Te 6.702 2.883 5.336
Li 1.854 0.798 5.715
Li 4.418 1.901 4.132
```

Values from the calculation:
M_tot, μB/f.u.: 0.000
Energy relative to the lowest polymorph listed for this composition, meV per atom: 0.0
Raw formation energy, meV/atom: -649.1

[2]
LiHgTe2 | PBE-GGA | optimized geometry

```
4
Lattice="-2.679 5.960 1.986 -4.454 4.008 -3.278 1.388 -6.358 2.073" Properties=species:S:1:pos:R:3 pbc="T T T"
Te -6.736 9.413 -1.220
Hg -3.904 5.456 -0.707
Te -2.325 2.149 1.725
Li -3.479 1.545 -0.955
```

Values from the calculation:
M_tot, μB/f.u.: 0.000
Raw formation energy, meV/atom: -244.4

[3]
Li2HgTe | PBE-GGA | optimized geometry

```
4
Lattice="-1.731 -0.315 -3.603 2.377 -1.856 -0.979 -0.967 -7.425 1.114" Properties=species:S:1:pos:R:3 pbc="T T T"
Li 2.353 -1.867 -0.967
Hg 0.192 -7.119 -1.701
Li 0.729 -4.630 0.055
Te -0.513 -2.478 -1.768
```

Values from the calculation:
M_tot, μB/f.u.: 0.000
Energy relative to the lowest polymorph listed for this composition, meV per atom: 141.7
Raw formation energy, meV/atom: -507.4

- Look up the raw formation energy of the second one.
  -244.4 meV/atom